10
Lattice="4.171 0.000 0.000 0.000 4.171 0.000 0.000 0.000 10.568" Properties=species:S:1:pos:R:3 comment="GGA-PBE NaPu2Si3Pt4, optimized geometry" formation_energy_uncorrected_ev_per_atom=-0.70 pbc="T T T"
Na 2.086 2.086 5.284
Pu 2.086 0.000 2.613
Pu 0.000 2.086 7.955
Si 0.000 0.000 5.284
Si 2.086 0.000 9.233
Si 0.000 2.086 1.335
Pt 2.086 2.086 0.000
Pt 0.000 0.000 0.000
Pt 2.086 0.000 6.872
Pt 0.000 2.086 3.696